{"formula": "ErNiIr", "functional": "PBE", "state": "optimized geometry", "e_tot_ev_per_atom": -6.045, "mass_density_g_cm3": 11.64, "lattice_angstrom": [[0.000, 3.101, 3.101], [3.101, 0.000, 3.101], [3.101, 3.101, 0.000]], "species": ["Ni", "Ir", "Er"], "frac_coords": [[0.750, 0.750, 0.750], [0.250, 0.250, 0.250], [0.000, 0.000, 0.000]]}